#one
BaMg4: relaxed, PBE.

Output
Fermi-level density of states   3.58 states/eV/f.u.
Space-group type   Im-3m
V   49.7 Å³ per atom

Cell: 6.8583 6.8583 6.8583 Å, 109.47 109.47 109.47°
Sites, in units of the cell vectors:
Ba: 0.0000 0.0000 0.0000
Mg: 0.0000 0.0000 0.5000
Mg: 0.0000 0.5000 0.0000
Mg: 0.5000 0.0000 0.0000
Mg: 0.5000 0.5000 0.5000

#two
BaMg4: relaxed, PBE.

Output
Fermi-level density of states   5.13 states/eV/f.u.
Space-group type   Pm-3m
V   57.4 Å³ per atom

Cell: 6.5969 6.5969 6.5969 Å, 90.00 90.00 90.00°
Sites, in units of the cell vectors:
Ba: 0.0000 0.0000 0.0000
Mg: 0.0000 0.0000 0.5000
Mg: 0.0000 0.5000 0.0000
Mg: 0.5000 0.0000 0.0000
Mg: 0.5000 0.5000 0.5000

Which one sits at the bottom of the stability order? #two does.

#one
Ba3Mg4: relaxed, PBE.

Output
Fermi-level density of states   6.46 states/eV/f.u.
Space-group type   P6/mmm
V   43.5 Å³ per atom

Cell: 7.7161 7.7161 5.9051 Å, 90.00 90.00 120.00°
Sites, in units of the cell vectors:
Ba: 0.0000 0.5000 0.0000
Ba: 0.5000 0.0000 0.0000
Ba: 0.5000 0.5000 0.0000
Mg: 0.0000 0.0000 0.2504
Mg: 0.0000 0.0000 0.7496
Mg: 0.3333 0.6667 0.5000
Mg: 0.6667 0.3333 0.5000

#two
Ba3Mg4: relaxed, PBE.

Output
Fermi-level density of states   6.16 states/eV/f.u.
Space-group type   I4/mmm
V   39.6 Å³ per atom

Cell: 16.2489 16.2489 16.2489 Å, 165.27 165.27 20.89°
Sites, in units of the cell vectors:
Ba: 0.0000 0.0000 0.0000
Ba: 0.3073 0.3073 0.0000
Ba: 0.6927 0.6927 0.0000
Mg: 0.1184 0.1184 0.0000
Mg: 0.4246 0.4246 0.0000
Mg: 0.5754 0.5754 0.0000
Mg: 0.8816 0.8816 0.0000

Which one sits at the bottom of the stability order? #one does.

#one
BaMg3Mn: relaxed, PBE.

Output
Fermi-level density of states   7.15 states/eV/f.u.
Space-group type   Pm-3m
V   52.5 Å³ per atom

Cell: 6.4045 6.4045 6.4045 Å, 90.00 90.00 90.00°
Sites, in units of the cell vectors:
Ba: 0.0000 0.0000 0.0000
Mg: 0.0000 0.0000 0.5000
Mg: 0.0000 0.5000 0.0000
Mg: 0.5000 0.0000 0.0000
Mn: 0.5000 0.5000 0.5000

#two
BaMg3Mn: relaxed, PBE.

Output
Fermi-level density of states   3.76 states/eV/f.u.
Space-group type   Pm-3m
V   29.6 Å³ per atom

Cell: 5.2914 5.2914 5.2914 Å, 90.00 90.00 90.00°
Sites, in units of the cell vectors:
Ba: 0.0000 0.0000 0.0000
Mg: 0.0000 0.5000 0.5000
Mg: 0.5000 0.0000 0.5000
Mg: 0.5000 0.5000 0.0000
Mn: 0.5000 0.5000 0.5000

Which one sits at the bottom of the stability order? #one does.

#one
BaMg6Mn: relaxed, PBE.

Output
Fermi-level density of states   5.43 states/eV/f.u.
Space-group type   Amm2
V   27.1 Å³ per atom

Cell: 5.0553 7.5018 7.5018 Å, 49.55 90.00 90.00°
Sites, in units of the cell vectors:
Ba: 0.0000 0.0000 0.0000
Mg: 0.0000 0.4975 0.9735
Mg: 0.0000 0.9735 0.4975
Mg: 0.5000 0.1239 0.6121
Mg: 0.5000 0.1726 0.1726
Mg: 0.5000 0.5817 0.5817
Mg: 0.5000 0.6121 0.1239
Mn: 0.0000 0.4076 0.4076

#two
BaMg6Mn: relaxed, PBE.

Output
Fermi-level density of states   6.50 states/eV/f.u.
Space-group type   Amm2
V   27.4 Å³ per atom

Cell: 4.9255 7.7037 7.7037 Å, 48.46 90.00 90.00°
Sites, in units of the cell vectors:
Ba: 0.0000 0.0000 0.0000
Mg: 0.0000 0.4064 0.4064
Mg: 0.0000 0.4728 0.9604
Mg: 0.0000 0.9604 0.4728
Mg: 0.5000 0.0880 0.5977
Mg: 0.5000 0.5961 0.5961
Mg: 0.5000 0.5977 0.0880
Mn: 0.5000 0.1723 0.1723

Which one sits at the bottom of the stability order? #two does.